w.
Entry from Alexandria: an optimized crystal structure of TiGe2Mo (PBE).

Output
**Magnetization**: 0.00 μB per atom

a = 3.573 Å, b = 6.213 Å, c = 6.517 Å
α = 99.25°, β = 105.91°, γ = 90.00°
Positions (direct):
1 Ge 0.375 0.125 0.251
2 Ge 0.625 0.875 0.749
3 Ge 0.875 0.625 0.251
4 Mo 0.500 0.500 0.500
5 Mo 0.000 0.000 0.500
6 Ti 0.250 0.750 0.000
7 Ti 0.750 0.250 0.000
8 Ge 0.125 0.375 0.749

x.
Entry from Alexandria: an optimized crystal structure of TiGe2Mo (PBE).

Output
**Magnetization**: 0.00 μB per atom

a = 3.810 Å, b = 3.810 Å, c = 9.749 Å
α = 78.73°, β = 78.73°, γ = 90.00°
Positions (direct):
1 Ti 0.500 0.500 0.000
2 Ti 0.250 0.750 0.500
3 Ge 0.131 0.625 0.250
4 Mo 0.750 0.250 0.500
5 Mo 0.000 0.000 0.000
6 Ge 0.375 0.381 0.750
7 Ge 0.619 0.125 0.250
8 Ge 0.875 0.869 0.750

Energetically preferred structure: w | next structure: +0.172 eV/atom

w.
Entry from Alexandria: an optimized crystal structure of Tl2GeMo (PBE).

Output
**Magnetization**: 0.23 μB per atom

a = 10.717 Å, b = 10.717 Å, c = 7.966 Å
α = 47.72°, β = 47.72°, γ = 90.00°
Positions (direct):
1 Mo 0.750 0.250 0.500
2 Tl 0.875 0.125 0.250
3 Tl 0.875 0.125 0.750
4 Ge 0.500 0.500 0.000
5 Ge 0.250 0.750 0.500
6 Tl 0.875 0.625 0.250
7 Mo 0.000 0.000 0.000
8 Tl 0.375 0.125 0.750

x.
Entry from Alexandria: an optimized crystal structure of Tl2GeMo (PBE).

Output
**Magnetization**: 0.87 μB per atom

a = 5.086 Å, b = 5.086 Å, c = 5.086 Å
α = 60.00°, β = 60.00°, γ = 60.00°
Positions (direct):
1 Tl 0.750 0.750 0.750
2 Tl 0.250 0.250 0.250
3 Ge 0.000 0.000 0.000
4 Mo 0.500 0.500 0.500

Energetically preferred structure: w | next structure: +0.320 eV/atom